The following is a GGA-PBE calculation of a geometry-optimized PmInPtO6 structure, from Alexandria via LeMat-Bulk.

Cell: 4.9861 4.9861 10.1320 Å, 90.00 90.00 90.00°
Space group P4_2nm (No. 102)
One atom of each set of equivalent atoms:
Pm 0.0000 0.0000 0.0000 [2 per cell]
In 0.0000 0.0000 0.6612 [2 per cell]
Pt 0.0000 0.0000 0.3283 [2 per cell]
O 0.1785 0.1785 0.4789 [4 per cell]
O 0.1953 0.1953 0.1820 [4 per cell]
O 0.2237 0.2237 0.8236 [4 per cell]

Results
**Size of the total moment**: 1.06 μB per formula unit
**N(E_F)**: 13.56 states/eV per cell
**E_form (uncorrected)**: -1.393 eV per atom
**Calculated total energy**: -55.82 eV/f.u.